No. 1
Below is crystalline Sb2AsPt at its relaxed geometry, with properties calculated at the GGA-PBE level.

Calculated values
Formation energy from raw total energies (eV per atom): -0.016

Cell: 3.721 4.168 12.076 Å, 90.00 90.00 90.00°
Space group Immm (No. 71)
Asymmetric unit:
1 Sb 0.000 0.000 0.173 [4 per cell]
2 As 0.000 0.500 0.000 [2 per cell]
3 Pt 0.000 0.500 0.500 [2 per cell]

---

No. 2
Below is crystalline Sr3LiSc at its relaxed geometry, with properties calculated at the GGA-PBE level.

Calculated values
E above lowest polymorph (meV per atom): 120
Formation energy (eV per formula unit): 3.2

Cell: 6.458 6.458 6.458 Å, 90.00 90.00 90.00°
Space group Pm-3m (No. 221)
Asymmetric unit:
1 Sr 0.000 0.000 0.500 [3 per cell]
2 Li 0.500 0.500 0.500 [1 per cell]
3 Sc 0.000 0.000 0.000 [1 per cell]

---

| no. | raw total energy (eV per formula unit) |
| --- | --- |
| 1 | -19.001 |
| 2 | -10.125 |